A plane-wave DFT calculation with GGA-PBE was carried out for crystalline SiAg at its relaxed geometry.

Calculated values
- space-group type = No. 62
- uncorrected formation energy (meV/atom) = 305
- raw total energy (eV for the cell shown) = -30.66
- energy above the most stable polymorph in this dataset (eV per formula unit) = 0.16

Cell lengths 3.6521, 4.4932, 8.8912 Å; angles 90.00, 90.00, 90.00 degrees
Last column: nearest neighbours and their distance in Å.
Sites, in units of the cell vectors:
Si 0.2500 0.8623 0.4567  2 Si 2.34, 1 Ag 2.53
Si 0.7500 0.3623 0.0433  2 Si 2.34, 1 Ag 2.53
Si 0.2500 0.6377 0.9567  2 Si 2.34, 1 Ag 2.53
Ag 0.2500 0.1099 0.8017  2 Si 2.53-2.74
Si 0.7500 0.1377 0.5433  2 Si 2.34, 1 Ag 2.53
Ag 0.2500 0.3901 0.3017  2 Si 2.53-2.74
Ag 0.7500 0.8901 0.1983  2 Si 2.53-2.74
Ag 0.7500 0.6099 0.6983  2 Si 2.53-2.74

=====

A plane-wave DFT calculation with GGA-PBE was carried out for crystalline Si3Ag at its relaxed geometry.

Calculated values
- space-group type = No. 59
- uncorrected formation energy (meV/atom) = 373
- raw total energy (eV for the cell shown) = -35.25
- energy above the most stable polymorph in this dataset (eV per formula unit) = 0.35

Cell lengths 3.6245, 5.0464, 7.5393 Å; angles 90.00, 90.00, 90.00 degrees
Last column: nearest neighbours and their distance in Å.
Sites, in units of the cell vectors:
Ag 0.5427 0.0000 0.0000  6 Si 2.54-2.78
Ag 0.4573 0.5000 0.5000  6 Si 2.54-2.78
Si 0.0426 0.0000 0.2788  4 Si 2.46-2.58
Si 0.9574 0.5000 0.7788  4 Si 2.46-2.58
Si 0.5417 0.0000 0.5000  4 Si 2.46-2.47, 2 Ag 2.54
Si 0.9574 0.5000 0.2212  4 Si 2.46-2.58
Si 0.0426 0.0000 0.7212  4 Si 2.46-2.58
Si 0.4583 0.5000 0.0000  4 Si 2.46-2.47, 2 Ag 2.54

=====

A plane-wave DFT calculation with GGA-PBE was carried out for crystalline Si3Ag at its relaxed geometry.

Calculated values
- space-group type = No. 194
- uncorrected formation energy (meV/atom) = 566
- raw total energy (eV for the cell shown) = -33.71
- energy above the most stable polymorph in this dataset (eV per formula unit) = 1.12

Cell lengths 5.5193, 5.5193, 5.0915 Å; angles 90.00, 90.00, 120.00 degrees
Last column: nearest neighbours and their distance in Å.
Sites, in units of the cell vectors:
Ag 0.3333 0.6667 0.7500  12 Si 2.76-3.07
Si 0.1545 0.8455 0.2500  2 Si 2.56, 2 Ag 2.76
Ag 0.6667 0.3333 0.2500  12 Si 2.76-3.07
Si 0.3090 0.1545 0.7500  2 Si 2.56, 2 Ag 2.76
Si 0.1545 0.3090 0.2500  2 Si 2.56, 2 Ag 2.76
Si 0.6910 0.8455 0.2500  2 Si 2.56, 2 Ag 2.76
Si 0.8455 0.1545 0.7500  2 Si 2.56, 2 Ag 2.76
Si 0.8455 0.6910 0.7500  2 Si 2.56, 2 Ag 2.76

=====

A plane-wave DFT calculation with GGA-PBE was carried out for crystalline Si3Ag2 at its relaxed geometry.

Calculated values
- space-group type = No. 166
- uncorrected formation energy (meV/atom) = 346
- raw total energy (eV for the cell shown) = -20.24
- energy above the most stable polymorph in this dataset (eV per formula unit) = 0.00

Cell lengths 10.3100, 10.3100, 10.3100 Å; angles 17.10, 17.10, 17.10 degrees
Last column: nearest neighbours and their distance in Å.
Sites, in units of the cell vectors:
Si 0.8051 0.8051 0.8051  3 Si 2.47, 3 Ag 2.74
Si 0.1949 0.1949 0.1949  3 Si 2.47, 3 Ag 2.74
Ag 0.5969 0.5969 0.5969  6 Si 2.74-2.77, 6 Ag 3.06
Ag 0.4031 0.4031 0.4031  6 Si 2.74-2.77, 6 Ag 3.06
Si 0.0000 0.0000 0.0000  6 Ag 2.77, 6 Si 3.06

=====

A plane-wave DFT calculation with GGA-PBE was carried out for crystalline SiAg2 at its relaxed geometry.

Calculated values
- space-group type = No. 227
- uncorrected formation energy (meV/atom) = 525
- raw total energy (eV for the cell shown) = -19.10
- energy above the most stable polymorph in this dataset (eV per formula unit) = 0.94

Cell lengths 5.4416, 5.4416, 5.4416 Å; angles 60.00, 60.00, 60.00 degrees
Last column: nearest neighbours and their distance in Å.
Sites, in units of the cell vectors:
Ag 0.6250 0.1250 0.1250  6 Ag 2.72
Ag 0.1250 0.1250 0.1250  6 Ag 2.72
Ag 0.1250 0.6250 0.1250  6 Ag 2.72
Ag 0.1250 0.1250 0.6250  6 Ag 2.72
Si 0.7500 0.7500 0.7500  12 Ag 3.19, 4 Si 3.33
Si 0.5000 0.5000 0.5000  12 Ag 3.19, 4 Si 3.33

=====

A plane-wave DFT calculation with GGA-PBE was carried out for crystalline SiAg2 at its relaxed geometry.

Calculated values
- space-group type = No. 189
- uncorrected formation energy (meV/atom) = 295
- raw total energy (eV for the cell shown) = -30.72
- energy above the most stable polymorph in this dataset (eV per formula unit) = 0.25

Cell lengths 6.7063, 6.7063, 4.0876 Å; angles 90.00, 90.00, 120.00 degrees
Last column: nearest neighbours and their distance in Å.
Sites, in units of the cell vectors:
Si 0.3333 0.6667 0.0000  3 Ag 2.55
Ag 0.7478 0.7478 0.0000  4 Si 2.55-2.65
Ag 0.4139 0.4139 0.5000  5 Si 2.78-2.87, 2 Ag 3.03
Ag 0.0000 0.2522 0.0000  4 Si 2.55-2.65
Si 0.6667 0.3333 0.0000  3 Ag 2.55
Ag 0.0000 0.5861 0.5000  5 Si 2.78-2.87, 2 Ag 3.03
Ag 0.5861 0.0000 0.5000  5 Si 2.78-2.87, 2 Ag 3.03
Si 0.0000 0.0000 0.5000  9 Ag 2.65-2.78
Ag 0.2522 0.0000 0.0000  4 Si 2.55-2.65

=====

A plane-wave DFT calculation with GGA-PBE was carried out for crystalline SiAg at its relaxed geometry.

Calculated values
- space-group type = No. 194
- uncorrected formation energy (meV/atom) = 611
- raw total energy (eV for the cell shown) = -14.11
- energy above the most stable polymorph in this dataset (eV per formula unit) = 0.78

Cell lengths 4.4929, 4.4929, 5.0630 Å; angles 90.00, 90.00, 120.00 degrees
Last column: nearest neighbours and their distance in Å.
Sites, in units of the cell vectors:
Ag 0.6667 0.3333 0.2500  5 Si 2.53-2.59
Si 0.6667 0.3333 0.7500  5 Ag 2.53-2.59
Si 0.3333 0.6667 0.2500  5 Ag 2.53-2.59
Ag 0.3333 0.6667 0.7500  5 Si 2.53-2.59

=====

A plane-wave DFT calculation with GGA-PBE was carried out for crystalline Si4Ag5 at its relaxed geometry.

Calculated values
- space-group type = No. 193
- uncorrected formation energy (meV/atom) = 369
- raw total energy (eV for the cell shown) = -65.26
- energy above the most stable polymorph in this dataset (eV per formula unit) = 0.37

Cell lengths 7.9442, 7.9442, 5.7225 Å; angles 90.00, 90.00, 120.00 degrees
Last column: nearest neighbours and their distance in Å.
Sites, in units of the cell vectors:
Ag 0.6077 0.6077 0.7500  3 Si 2.65-2.77, 4 Ag 2.84
Si 0.2735 0.2735 0.7500  2 Si 2.60, 3 Ag 2.65-2.77
Ag 0.3333 0.6667 0.0000  8 Ag 2.84-2.86
Ag 0.0000 0.6077 0.2500  3 Si 2.65-2.77, 4 Ag 2.84
Ag 0.3923 0.0000 0.7500  3 Si 2.65-2.77, 4 Ag 2.84
Si 0.0000 0.2735 0.2500  2 Si 2.60, 3 Ag 2.65-2.77
Ag 0.0000 0.3923 0.7500  3 Si 2.65-2.77, 4 Ag 2.84
Si 0.7265 0.0000 0.7500  2 Si 2.60, 3 Ag 2.65-2.77
Si 0.7265 0.7265 0.2500  2 Si 2.60, 3 Ag 2.65-2.77
Ag 0.3333 0.6667 0.5000  8 Ag 2.84-2.86
Ag 0.6667 0.3333 0.0000  8 Ag 2.84-2.86
Si 0.2735 0.0000 0.2500  2 Si 2.60, 3 Ag 2.65-2.77
Si 0.0000 0.0000 0.5000  8 Si 2.60-2.86
Si 0.0000 0.7265 0.7500  2 Si 2.60, 3 Ag 2.65-2.77
Ag 0.3923 0.3923 0.2500  3 Si 2.65-2.77, 4 Ag 2.84
Ag 0.6667 0.3333 0.5000  8 Ag 2.84-2.86
Si 0.0000 0.0000 0.0000  8 Si 2.60-2.86
Ag 0.6077 0.0000 0.2500  3 Si 2.65-2.77, 4 Ag 2.84

=====

A plane-wave DFT calculation with GGA-PBE was carried out for crystalline Si5Ag at its relaxed geometry.

Calculated values
- space-group type = No. 123
- uncorrected formation energy (meV/atom) = 508
- raw total energy (eV for the cell shown) = -26.92
- energy above the most stable polymorph in this dataset (eV per formula unit) = 0.74

Cell lengths 2.7726, 2.7726, 12.0349 Å; angles 90.00, 90.00, 90.00 degrees
Last column: nearest neighbours and their distance in Å.
Sites, in units of the cell vectors:
Si 0.5000 0.5000 0.6588  12 Si 2.74-2.77
Si 0.0000 0.0000 0.8217  8 Si 2.77, 4 Ag 2.91
Ag 0.5000 0.5000 0.0000  4 Ag 2.77, 8 Si 2.91
Si 0.0000 0.0000 0.1783  8 Si 2.77, 4 Ag 2.91
Si 0.5000 0.5000 0.3412  12 Si 2.74-2.77
Si 0.0000 0.0000 0.5000  12 Si 2.74-2.77

=====

A plane-wave DFT calculation with GGA-PBE was carried out for crystalline SiAg7 at its relaxed geometry.

Calculated values
- space-group type = No. 225
- uncorrected formation energy (meV/atom) = 123
- raw total energy (eV for the cell shown) = -24.39

Cell lengths 5.8282, 5.8282, 5.8282 Å; angles 60.00, 60.00, 60.00 degrees
Last column: nearest neighbours and their distance in Å.
Sites, in units of the cell vectors:
Ag 0.0000 0.5000 0.0000  10 Ag 2.91, 2 Si 2.91
Si 0.0000 0.0000 0.0000  12 Ag 2.91
Ag 0.5000 0.5000 0.5000  12 Ag 2.91
Ag 0.5000 0.0000 0.0000  2 Si 2.91, 10 Ag 2.91
Ag 0.5000 0.5000 0.0000  10 Ag 2.91, 2 Si 2.91
Ag 0.5000 0.0000 0.5000  10 Ag 2.91, 2 Si 2.91
Ag 0.0000 0.0000 0.5000  10 Ag 2.91, 2 Si 2.91
Ag 0.0000 0.5000 0.5000  10 Ag 2.91, 2 Si 2.91

=====

A plane-wave DFT calculation with GGA-PBE was carried out for crystalline SiAg3 at its relaxed geometry.

Calculated values
- space-group type = No. 223
- uncorrected formation energy (meV/atom) = 282
- raw total energy (eV for the cell shown) = -25.70

Cell lengths 5.1976, 5.1976, 5.1976 Å; angles 90.00, 90.00, 90.00 degrees
Last column: nearest neighbours and their distance in Å.
Sites, in units of the cell vectors:
Si 0.5000 0.5000 0.5000  12 Ag 2.91
Ag 0.5000 0.0000 0.7500  2 Ag 2.60, 4 Si 2.91
Ag 0.0000 0.7500 0.5000  2 Ag 2.60, 4 Si 2.91
Ag 0.5000 0.0000 0.2500  2 Ag 2.60, 4 Si 2.91
Ag 0.0000 0.2500 0.5000  2 Ag 2.60, 4 Si 2.91
Si 0.0000 0.0000 0.0000  12 Ag 2.91
Ag 0.7500 0.5000 0.0000  2 Ag 2.60, 4 Si 2.91
Ag 0.2500 0.5000 0.0000  2 Ag 2.60, 4 Si 2.91

=====

A plane-wave DFT calculation with GGA-PBE was carried out for crystalline SiAg at its relaxed geometry.

Calculated values
- space-group type = No. 198
- uncorrected formation energy (meV/atom) = 452
- raw total energy (eV for the cell shown) = -29.48
- energy above the most stable polymorph in this dataset (eV per formula unit) = 0.46

Cell lengths 5.1913, 5.1913, 5.1913 Å; angles 90.00, 90.00, 90.00 degrees
Last column: nearest neighbours and their distance in Å.
Sites, in units of the cell vectors:
Si 0.8972 0.6028 0.3972  7 Ag 2.73-2.84
Ag 0.0917 0.5917 0.9083  7 Si 2.73-2.84
Si 0.1028 0.1028 0.1028  7 Ag 2.73-2.84
Ag 0.9083 0.0917 0.5917  7 Si 2.73-2.84
Si 0.3972 0.8972 0.6028  7 Ag 2.73-2.84
Ag 0.4083 0.4083 0.4083  7 Si 2.73-2.84
Si 0.6028 0.3972 0.8972  7 Ag 2.73-2.84
Ag 0.5917 0.9083 0.0917  7 Si 2.73-2.84